# 1
Material: Na2ZnCo
Method: DFT, GGA-PBE
State: relaxed

Cell and atoms, written as POSCAR:
```
Na2ZnCo
1.0
-4.0045 4.0045 2.5803
4.0045 -4.0045 2.5803
4.0045 4.0045 -2.5803
Na Zn Co
4 2 2
Cartesian
2.0022 1.9460 -0.6451
2.0584 -2.0022 3.2253
2.0022 2.0584 1.9352
1.9460 6.0067 0.6451
4.0045 0.0000 1.2901
0.0000 0.0000 2.5803
0.0000 0.0000 0.0000
0.0000 4.0045 1.2901
```

Calculated density in g/cm³: 3.418



# 2
Material: NaZnCo3
Method: DFT, GGA-PBE
State: relaxed

Cell and atoms, written as POSCAR:
```
NaZnCo3
1.0
4.3537 0.0000 0.0000
0.0000 4.3537 0.0000
0.0000 0.0000 4.3537
Na Zn Co
1 1 3
Cartesian
0.0000 0.0000 0.0000
2.1769 2.1769 2.1769
0.0000 0.0000 2.1769
0.0000 2.1769 0.0000
2.1769 0.0000 0.0000
```

Excess energy over the best structure of this formula in the dataset in meV/atom: 724.6
Calculated density in g/cm³: 5.336



# 3
Material: NaZn2Co
Method: DFT, GGA-PBE
State: relaxed

Cell and atoms, written as POSCAR:
```
NaZn2Co
1.0
2.9302 0.0000 0.0000
0.0000 2.9302 0.0000
0.0000 0.0000 7.5505
Na Zn Co
1 2 1
Cartesian
0.0000 0.0000 0.0000
1.4651 1.4651 2.3952
1.4651 1.4651 5.1554
0.0000 0.0000 3.7753
```

Excess energy over the best structure of this formula in the dataset in meV/atom: 0.0
Calculated density in g/cm³: 5.449



# 4
Material: Na2Zn2Co
Method: DFT, GGA-PBE
State: relaxed

Cell and atoms, written as POSCAR:
```
Na2Zn2Co
1.0
6.3090 0.0000 0.0000
0.0000 6.3090 0.0000
0.0000 0.0000 4.9878
Na Zn Co
4 4 2
Cartesian
1.1386 2.0159 0.0000
2.0159 5.1704 0.0000
4.2931 1.1386 0.0000
5.1704 4.2931 0.0000
0.9442 4.0987 2.4939
2.2103 0.9442 2.4939
4.0987 5.3648 2.4939
5.3648 2.2103 2.4939
0.0000 0.0000 2.4939
3.1545 3.1545 2.4939
```

Calculated density in g/cm³: 3.943



# 5
Material: NaZn2Co
Method: DFT, GGA-PBE
State: relaxed

Cell and atoms, written as POSCAR:
```
NaZn2Co
1.0
0.0000 3.1014 3.1014
3.1014 0.0000 3.1014
3.1014 3.1014 0.0000
Na Zn Co
1 2 1
Cartesian
0.0000 0.0000 0.0000
1.5507 1.5507 1.5507
4.6521 4.6521 4.6521
3.1014 3.1014 3.1014
```

Excess energy over the best structure of this formula in the dataset in meV/atom: 200.5
Calculated density in g/cm³: 5.921



# 6
Material: NaZn2Co
Method: DFT, GGA-PBE
State: relaxed

Cell and atoms, written as POSCAR:
```
NaZn2Co
1.0
-2.3945 2.3945 8.2525
2.3945 -2.3945 8.2525
2.3945 2.3945 -8.2525
Na Zn Co
2 4 2
Cartesian
0.0000 0.0000 0.0000
0.0000 2.3945 4.1263
1.1973 -0.1315 6.1894
2.2631 1.1973 2.0631
1.1973 2.5260 -2.0631
0.1315 1.1973 10.3157
2.3945 0.0000 4.1263
0.0000 0.0000 8.2525
```

Excess energy over the best structure of this formula in the dataset in meV/atom: 398.4
Calculated density in g/cm³: 3.733



# 7
Material: NaZn3Co
Method: DFT, GGA-PBE
State: relaxed

Cell and atoms, written as POSCAR:
```
NaZn3Co
1.0
4.6281 0.0000 0.0000
0.0000 4.6281 0.0000
0.0000 0.0000 4.6281
Na Zn Co
1 3 1
Cartesian
0.0000 0.0000 0.0000
0.0000 2.3141 2.3141
2.3141 0.0000 2.3141
2.3141 2.3141 0.0000
2.3141 2.3141 2.3141
```

Excess energy over the best structure of this formula in the dataset in meV/atom: 0.0
Calculated density in g/cm³: 4.659



# 8
Material: Na2ZrCo2
Method: DFT, GGA-PBE
State: relaxed

Cell and atoms, written as POSCAR:
```
Na2ZrCo2
1.0
8.1301 0.0000 0.0000
0.0000 8.1301 0.0000
0.0000 0.0000 2.6906
Na Zr Co
4 2 4
Cartesian
0.9030 3.1620 0.0000
3.1620 7.2271 0.0000
4.9681 0.9030 0.0000
7.2271 4.9681 0.0000
0.0000 0.0000 0.0000
4.0651 4.0651 0.0000
1.5653 5.6303 1.3453
2.4998 1.5653 1.3453
5.6303 6.5648 1.3453
6.5648 2.4998 1.3453
```

Excess energy over the best structure of this formula in the dataset in meV/atom: 0.0
Calculated density in g/cm³: 4.763



Values of spin magnetization, in order: 2.61; 4.33; 0.00; 1.24; 0.00; 1.97; 0.00; 5.32, all in Bohr magnetons per cell.
Values of energy of formation from the pure elements, in order: 656; 1857; 95; 303; 296; 494; 127; 815, all in meV per atom.